VASP calculation (GGA-PBE) on a relaxed structure of K3Pr2NpTe6.

Properties
Symmetry: C2/m
Total magnetic moment: 4.0 μB per formula unit
DFT total energy: -4.9582 eV/atom

Geometry as CIF:
```
data_K3Pr2NpTe6
_cell_length_a 8.017
_cell_length_b 8.017
_cell_length_c 8.672
_cell_angle_alpha 98.87
_cell_angle_beta 98.87
_cell_angle_gamma 120.04
_symmetry_space_group_name_H-M 'P 1'
_symmetry_Int_Tables_number 1
loop_
_symmetry_equiv_pos_as_xyz
'x,y,z'
loop_
_atom_site_label
_atom_site_type_symbol
_atom_site_fract_x
_atom_site_fract_y
_atom_site_fract_z
K1 K 0.000 0.000 0.000
K2 K 0.332 0.668 0.000
K3 K 0.668 0.332 0.000
Pr1 Pr 0.167 0.833 0.500
Pr2 Pr 0.833 0.167 0.500
Np1 Np 0.500 0.500 0.500
Te1 Te 0.100 0.429 0.286
Te2 Te 0.243 0.243 0.715
Te3 Te 0.429 0.100 0.286
Te4 Te 0.571 0.900 0.714
Te5 Te 0.757 0.757 0.285
Te6 Te 0.900 0.571 0.714
```

VASP calculation (GGA-PBE) on a relaxed structure of NdBOs2C.

Properties
Symmetry: Cmcm
Total magnetic moment: 0.0 μB per formula unit
ΔH_f (0 K): -176 meV/atom
DFT total energy: -8.8020 eV/atom

Geometry as CIF:
```
data_NdBOs2C
_cell_length_a 5.690
_cell_length_b 5.690
_cell_length_c 7.001
_cell_angle_alpha 90.00
_cell_angle_beta 90.00
_cell_angle_gamma 140.87
_symmetry_space_group_name_H-M 'P 1'
_symmetry_Int_Tables_number 1
loop_
_symmetry_equiv_pos_as_xyz
'x,y,z'
loop_
_atom_site_label
_atom_site_type_symbol
_atom_site_fract_x
_atom_site_fract_y
_atom_site_fract_z
Nd1 Nd 0.046 0.954 0.750
Nd2 Nd 0.954 0.046 0.250
B1 B 0.229 0.771 0.250
B2 B 0.771 0.229 0.750
Os1 Os 0.325 0.675 0.562
Os2 Os 0.325 0.675 0.938
Os3 Os 0.675 0.325 0.062
Os4 Os 0.675 0.325 0.438
C1 C 0.500 0.500 0.000
C2 C 0.500 0.500 0.500
```

VASP calculation (GGA-PBE) on a relaxed structure of Li3CdF.

Properties
Symmetry: Pm-3m
Total magnetic moment: 0.0 μB per formula unit
Excess energy over the best structure of this formula in the dataset: 0.00 eV/f.u.
DFT total energy: -2.8561 eV/atom

Geometry as CIF:
```
data_Li3CdF
_cell_length_a 4.186
_cell_length_b 4.186
_cell_length_c 4.186
_cell_angle_alpha 90.00
_cell_angle_beta 90.00
_cell_angle_gamma 90.00
_symmetry_space_group_name_H-M 'P 1'
_symmetry_Int_Tables_number 1
loop_
_symmetry_equiv_pos_as_xyz
'x,y,z'
loop_
_atom_site_label
_atom_site_type_symbol
_atom_site_fract_x
_atom_site_fract_y
_atom_site_fract_z
Li1 Li 0.000 0.000 0.500
Li2 Li 0.000 0.500 0.000
Li3 Li 0.500 0.000 0.000
Cd1 Cd 0.500 0.500 0.500
F1 F 0.000 0.000 0.000
```

VASP calculation (GGA-PBE) on a relaxed structure of VIn2HCl.

Properties
Symmetry: P4/mmm
Total magnetic moment: 2.3 μB per formula unit
DFT total energy: -3.8157 eV/atom

Geometry as CIF:
```
data_VIn2HCl
_cell_length_a 5.495
_cell_length_b 5.495
_cell_length_c 3.383
_cell_angle_alpha 90.00
_cell_angle_beta 90.00
_cell_angle_gamma 90.00
_symmetry_space_group_name_H-M 'P 1'
_symmetry_Int_Tables_number 1
loop_
_symmetry_equiv_pos_as_xyz
'x,y,z'
loop_
_atom_site_label
_atom_site_type_symbol
_atom_site_fract_x
_atom_site_fract_y
_atom_site_fract_z
V1 V 0.000 0.000 0.000
In1 In 0.000 0.500 0.500
In2 In 0.500 0.000 0.500
H1 H 0.000 0.000 0.500
Cl1 Cl 0.500 0.500 0.000
```

VASP calculation (GGA-PBE) on a relaxed structure of La5TiGe4.

Properties
Symmetry: C2/m
Total magnetic moment: 0.0 μB per formula unit
ΔH_f (0 K): -468 meV/atom
DFT total energy: -5.5677 eV/atom

Geometry as CIF:
```
data_La5TiGe4
_cell_length_a 9.522
_cell_length_b 9.522
_cell_length_c 7.785
_cell_angle_alpha 107.77
_cell_angle_beta 107.77
_cell_angle_gamma 26.11
_symmetry_space_group_name_H-M 'P 1'
_symmetry_Int_Tables_number 1
loop_
_symmetry_equiv_pos_as_xyz
'x,y,z'
loop_
_atom_site_label
_atom_site_type_symbol
_atom_site_fract_x
_atom_site_fract_y
_atom_site_fract_z
La1 La 0.000 0.000 0.000
La2 La 0.333 0.333 0.661
La3 La 0.334 0.334 0.131
La4 La 0.666 0.666 0.869
La5 La 0.667 0.667 0.339
Ti1 Ti 0.000 0.000 0.500
Ge1 Ge 0.160 0.160 0.606
Ge2 Ge 0.500 0.500 0.288
Ge3 Ge 0.500 0.500 0.712
Ge4 Ge 0.840 0.840 0.394
```

VASP calculation (GGA-PBE) on a relaxed structure of NbTcPCl2.

Properties
Symmetry: P4/mmm
Total magnetic moment: 0.0 μB per formula unit
Excess energy over the best structure of this formula in the dataset: 1.63 eV/f.u.
DFT total energy: -5.0229 eV/atom

Geometry as CIF:
```
data_NbTcPCl2
_cell_length_a 4.674
_cell_length_b 4.674
_cell_length_c 4.678
_cell_angle_alpha 90.00
_cell_angle_beta 90.00
_cell_angle_gamma 90.00
_symmetry_space_group_name_H-M 'P 1'
_symmetry_Int_Tables_number 1
loop_
_symmetry_equiv_pos_as_xyz
'x,y,z'
loop_
_atom_site_label
_atom_site_type_symbol
_atom_site_fract_x
_atom_site_fract_y
_atom_site_fract_z
Nb1 Nb 0.000 0.000 0.000
Tc1 Tc 0.500 0.500 0.500
P1 P 0.500 0.500 0.000
Cl1 Cl 0.000 0.500 0.500
Cl2 Cl 0.500 0.000 0.500
```

VASP calculation (GGA-PBE) on a relaxed structure of HgAu.

Properties
Symmetry: I-43m
Total magnetic moment: 0.0 μB per formula unit
ΔH_f (0 K): 171 meV/atom
DFT total energy: -1.6186 eV/atom

Geometry as CIF:
```
data_HgAu
_cell_length_a 8.617
_cell_length_b 8.617
_cell_length_c 8.617
_cell_angle_alpha 90.00
_cell_angle_beta 90.00
_cell_angle_gamma 90.00
_symmetry_space_group_name_H-M 'P 1'
_symmetry_Int_Tables_number 1
loop_
_symmetry_equiv_pos_as_xyz
'x,y,z'
loop_
_atom_site_label
_atom_site_type_symbol
_atom_site_fract_x
_atom_site_fract_y
_atom_site_fract_z
Hg1 Hg 0.204 0.204 0.796
Hg2 Hg 0.204 0.796 0.204
Hg3 Hg 0.296 0.296 0.296
Hg4 Hg 0.296 0.704 0.704
Hg5 Hg 0.704 0.296 0.704
Hg6 Hg 0.704 0.704 0.296
Hg7 Hg 0.796 0.204 0.204
Hg8 Hg 0.796 0.796 0.796
Au1 Au 0.117 0.117 0.117
Au2 Au 0.117 0.883 0.883
Au3 Au 0.383 0.383 0.617
Au4 Au 0.383 0.617 0.383
Au5 Au 0.617 0.383 0.383
Au6 Au 0.617 0.617 0.617
Au7 Au 0.883 0.117 0.883
Au8 Au 0.883 0.883 0.117
```

VASP calculation (GGA-PBE) on a relaxed structure of TlZn2Cu.

Properties
Symmetry: P2/m
Total magnetic moment: 0.0 μB per formula unit
Excess energy over the best structure of this formula in the dataset: 0.33 eV/f.u.
ΔH_f (0 K): 211 meV/atom
DFT total energy: -2.0412 eV/atom

Geometry as CIF:
```
data_TlZn2Cu
_cell_length_a 3.541
_cell_length_b 4.385
_cell_length_c 5.006
_cell_angle_alpha 90.00
_cell_angle_beta 102.42
_cell_angle_gamma 90.00
_symmetry_space_group_name_H-M 'P 1'
_symmetry_Int_Tables_number 1
loop_
_symmetry_equiv_pos_as_xyz
'x,y,z'
loop_
_atom_site_label
_atom_site_type_symbol
_atom_site_fract_x
_atom_site_fract_y
_atom_site_fract_z
Tl1 Tl 0.000 0.000 0.000
Zn1 Zn 0.362 0.500 0.721
Zn2 Zn 0.638 0.500 0.279
Cu1 Cu 0.500 0.000 0.500
```

Please write out number 8 again, unchanged.
VASP calculation (GGA-PBE) on a relaxed structure of TlZn2Cu.

Properties
Symmetry: P2/m
Total magnetic moment: 0.0 μB per formula unit
Excess energy over the best structure of this formula in the dataset: 0.33 eV/f.u.
ΔH_f (0 K): 211 meV/atom
DFT total energy: -2.0412 eV/atom

Geometry as CIF:
```
data_TlZn2Cu
_cell_length_a 3.541
_cell_length_b 4.385
_cell_length_c 5.006
_cell_angle_alpha 90.00
_cell_angle_beta 102.42
_cell_angle_gamma 90.00
_symmetry_space_group_name_H-M 'P 1'
_symmetry_Int_Tables_number 1
loop_
_symmetry_equiv_pos_as_xyz
'x,y,z'
loop_
_atom_site_label
_atom_site_type_symbol
_atom_site_fract_x
_atom_site_fract_y
_atom_site_fract_z
Tl1 Tl 0.000 0.000 0.000
Zn1 Zn 0.362 0.500 0.721
Zn2 Zn 0.638 0.500 0.279
Cu1 Cu 0.500 0.000 0.500
```

What is the formula in the sixth record? NbTcPCl2